1.
Compound: AsSe2BrO
Source: Alexandria
Functional: meta-GGA SCAN
Structure: PBEsol geometry

Summary:
The uncorrected formation energy comes out at 0.880 eV/atom. Its space-group type is P4/mmm, No. 123. The value obtained for the magnetic moment is 0.61 μB/atom. The final energy is -81.64 eV/f.u. Its density of states at the Fermi level is 6.91 states/eV per cell.

Cell lengths 4.9880, 4.9880, 5.1418 Å; angles 90.00, 90.00, 90.00 degrees
Last column: nearest neighbours and their distance in Å.
Positions (direct):
As 0.0000 0.0000 0.0000  4 Se 2.49, 2 Br 2.57
Se 0.0000 0.5000 0.0000  2 As 2.49
Se 0.5000 0.0000 0.0000  2 As 2.49
Br 0.0000 0.0000 0.5000  2 As 2.57
O 0.5000 0.5000 0.5000  4 Br 3.53, 8 Se 3.58

2.
Compound: Sc2AgHg
Source: Alexandria
Functional: meta-GGA SCAN
Structure: PBEsol geometry

Summary:
Its formation energy is -0.54 eV per atom. Its space-group type is Pmm2, No. 25. The value obtained for the magnetic moment is 0.00 μB/atom. The final energy is -130.16 eV/f.u. Its density of states at the Fermi level is 2.01 states/eV per cell.

Cell lengths 3.3712, 4.8141, 4.9170 Å; angles 90.00, 90.00, 90.00 degrees
Last column: nearest neighbours and their distance in Å.
Positions (direct):
Sc 0.0000 0.0000 0.0000  4 Hg 2.92-3.05, 4 Ag 2.95
Sc 0.0000 0.5000 0.4587  4 Ag 2.89-3.07, 4 Hg 2.95
Ag 0.5000 0.5000 0.9372  8 Sc 2.89-3.07, 2 Hg 3.17
Hg 0.5000 0.0000 0.5161  8 Sc 2.92-3.05, 2 Ag 3.17